A relaxed structure of SrWS2. Source: the Alexandria database, functional GGA-PBE.

As for the energy above the most stable polymorph in this dataset: 0.00 eV/f.u. The density of states at the Fermi level comes out at 2.73 states/eV per cell.

```
SrWS2
1.0
5.735 0.000 0.000
0.000 5.735 0.000
2.868 2.868 6.325
Sr S W
2 4 2
Direct
0.250 0.750 0.500
0.500 0.500 0.000
0.875 0.971 0.750
0.721 0.125 0.250
0.375 0.279 0.750
0.029 0.625 0.250
0.750 0.250 0.500
0.000 0.000 0.000
```